First-principles (PBE-GGA) data for a geometry-optimized CeErAgAu structure, as listed in Alexandria.

Structure (POSCAR):
```
CeErAgAu
1.0
0.0000 3.6526 3.6526
3.6526 0.0000 3.6526
3.6526 3.6526 0.0000
Ce Er Ag Au
1 1 1 1
Direct
0.0000 0.0000 0.0000
0.5000 0.5000 0.5000
0.2500 0.2500 0.2500
0.7500 0.7500 0.7500
```

Properties
**Space-group type**: F-43m, No. 216
**Formation enthalpy at 0 K**: -0.45 eV/atom
**N(E_F)**: 8.767 states/eV per cell
**ΔE to the lowest computed polymorph**: 0.12 eV/f.u.